(1)
# PrHoIn2, relaxed, DFT GGA-PBEsol
# magnetization = 0.0000 μB/atom
# energy of formation = -0.513 eV per atom
data_PrHoIn2
_chemical_formula_sum 'Pr4 Ho4 In8'
_cell_length_a 7.5131
_cell_length_b 7.5131
_cell_length_c 7.5131
_cell_angle_alpha 90.00
_cell_angle_beta 90.00
_cell_angle_gamma 90.00
_symmetry_space_group_name_H-M 'F m -3 m'
_symmetry_Int_Tables_number 225
_symmetry_space_group_name_Hall '-F 4 2 3'
loop_
_atom_site_label
_atom_site_fract_x
_atom_site_fract_y
_atom_site_fract_z
Pr1 0.0000 0.0000 0.0000
Ho1 0.0000 0.0000 0.5000
In1 0.2500 0.2500 0.2500

(2)
# Ho12InPt7, relaxed, DFT GGA-PBEsol
# magnetization = 0.0000 μB/atom
# energy of formation = -1.008 eV per atom
data_Ho12InPt7
_chemical_formula_sum 'Ho48 In4 Pt28'
_cell_length_a 11.3583
_cell_length_b 11.3583
_cell_length_c 14.2016
_cell_angle_alpha 90.00
_cell_angle_beta 90.00
_cell_angle_gamma 90.00
_symmetry_space_group_name_H-M 'I 4/m c m'
_symmetry_Int_Tables_number 140
_symmetry_space_group_name_Hall '-I 4 2c'
loop_
_atom_site_label
_atom_site_fract_x
_atom_site_fract_y
_atom_site_fract_z
Ho1 0.0000 0.5000 0.1347
Ho2 0.0723 0.2075 0.1445
Ho3 0.1765 0.3235 0.5000
In1 0.0000 0.0000 0.0000
Pt1 0.0000 0.0000 0.2500
Pt2 0.1266 0.3734 0.0000
Pt3 0.1724 0.3276 0.3068